# UCdIn2 | Alexandria via LeMat-Bulk | PBE-GGA | relaxed
data_UCdIn2
_chemical_formula_sum 'U1 Cd1 In2'
_cell_length_a 5.843
_cell_length_b 5.843
_cell_length_c 2.964
_cell_angle_alpha 90.00
_cell_angle_beta 90.00
_cell_angle_gamma 90.00
_symmetry_space_group_name_H-M 'P 1'
_symmetry_Int_Tables_number 1
_symmetry_space_group_name_Hall 'P 1'
loop_
_atom_site_label
_atom_site_type_symbol
_atom_site_fract_x
_atom_site_fract_y
_atom_site_fract_z
_atom_site_occupancy
U1 U 0.000 0.000 0.000 1
Cd1 Cd 0.500 0.500 0.000 1
In1 In 0.000 0.500 0.500 1
In2 In 0.500 0.000 0.500 1
# calculated density: 9.5 g/cm3
# energy above the most stable polymorph in this dataset: 19.3 meV per atom
# VASP energy: -16.99 eV for the cell shown
# calculated formation energy: 171.9 meV per atom
# space group: P4/mmm
# crystal system: tetragonal